The following is a DFT calculation (PBE) of an optimized crystal structure of LiPm4Pr5.

Unit cell a=3.6871 b=3.6871 c=25.0413 alpha=90.00 beta=90.00 gamma=90.00
Positions (direct):
Li  0.0000  0.0000  0.0000
Pm  0.0000  0.0000  0.1870
Pm  0.0000  0.0000  0.3957
Pm  0.0000  0.0000  0.6043
Pm  0.0000  0.0000  0.8130
Pr  0.5000  0.5000  0.0853
Pr  0.5000  0.5000  0.2914
Pr  0.5000  0.5000  0.5000
Pr  0.5000  0.5000  0.7086
Pr  0.5000  0.5000  0.9147

Properties
- M_tot (μB/atom) = 0.00
- formation enthalpy at 0 K (eV per atom) = 0.028
- SG = P4/mmm (123)
- density of states at the Fermi level (states/eV per atom) = 1.3185
- E_tot (eV for the cell shown) = -44.530